<w>
DFT (PBE-GGA) results for a relaxed structure of BaAs4.

Structure (POSCAR):
```
BaAs4
1.0
-3.4677 3.4677 3.4677
3.4677 -3.4677 3.4677
3.4677 3.4677 -3.4677
Ba As
1 4
Direct
0.0000 0.0000 0.0000
0.0000 0.0000 0.5000
0.0000 0.5000 0.0000
0.5000 0.0000 0.0000
0.5000 0.5000 0.5000
```



<x>
DFT (PBE-GGA) results for a relaxed structure of BaAs4.

Structure (POSCAR):
```
BaAs4
1.0
5.7941 0.0000 0.0000
0.0000 5.7941 0.0000
0.0000 0.0000 5.7941
Ba As
1 4
Direct
0.0000 0.0000 0.0000
0.0000 0.0000 0.5000
0.0000 0.5000 0.0000
0.5000 0.0000 0.0000
0.5000 0.5000 0.5000
```



<y>
DFT (PBE-GGA) results for a relaxed structure of BaAs4.

Structure (POSCAR):
```
BaAs4
1.0
-3.7499 3.7499 2.3653
3.7499 -3.7499 2.3653
3.7499 3.7499 -2.3653
Ba As
1 4
Direct
0.0000 0.0000 0.0000
0.1477 0.4302 0.5778
0.4302 0.8523 0.2825
0.5698 0.1477 0.7175
0.8523 0.5698 0.4222
```



Energy above the most stable structure, in eV/atom: <w> 0.969; <x> 1.718; <y> 0.000



<w>
DFT (PBE-GGA) results for a relaxed structure of Ba2BeAs2.

Structure (POSCAR):
```
Ba2BeAs2
1.0
6.1444 -2.0534 0.0000
6.1444 2.0534 0.0000
-4.9550 0.0000 11.2832
Ba Be As
4 2 4
Direct
0.0860 0.0860 0.4154
0.3389 0.3389 0.8736
0.6611 0.6611 0.1264
0.9140 0.9140 0.5846
0.3994 0.3994 0.2015
0.6006 0.6006 0.7985
0.0684 0.0684 0.8740
0.3387 0.3387 0.3499
0.6613 0.6613 0.6501
0.9316 0.9316 0.1260
```



<x>
DFT (PBE-GGA) results for a relaxed structure of Ba2BeAs2.

Structure (POSCAR):
```
Ba2BeAs2
1.0
7.9563 0.0000 0.0000
0.0000 7.9563 0.0000
0.0000 0.0000 4.7494
Ba Be As
4 2 4
Direct
0.1847 0.3153 0.0000
0.3153 0.8153 0.0000
0.6847 0.1847 0.0000
0.8153 0.6847 0.0000
0.0000 0.0000 0.5000
0.5000 0.5000 0.5000
0.1111 0.6111 0.5000
0.3889 0.1111 0.5000
0.6111 0.8889 0.5000
0.8889 0.3889 0.5000
```



Energy above the most stable structure, in eV/atom: <w> 0.000; <x> 0.448



<w>
DFT (PBE-GGA) results for a relaxed structure of BaBeAsSe2.

Structure (POSCAR):
```
BaBeAsSe2
1.0
5.2017 0.0000 0.0000
0.0000 5.2017 0.0000
0.0000 0.0000 4.3629
Ba Be As Se
1 1 1 2
Direct
0.0000 0.0000 0.0000
0.5000 0.5000 0.5000
0.5000 0.5000 0.0000
0.0000 0.5000 0.5000
0.5000 0.0000 0.5000
```



<x>
DFT (PBE-GGA) results for a relaxed structure of BaBeAsSe2.

Structure (POSCAR):
```
BaBeAsSe2
1.0
6.3125 0.0000 0.0000
0.0000 6.3125 0.0000
0.0000 0.0000 6.6335
Ba Be As Se
1 1 1 2
Direct
0.0000 0.0000 0.0000
0.5000 0.5000 0.5000
0.0000 0.0000 0.5000
0.0000 0.5000 0.0000
0.5000 0.0000 0.0000
```



Energy above the most stable structure, in eV/atom: <w> 0.000; <x> 1.665



<w>
DFT (PBE-GGA) results for a relaxed structure of Ba3BiAs.

Structure (POSCAR):
```
Ba3BiAs
1.0
6.2431 0.0000 0.0000
0.0000 6.2431 0.0000
0.0000 0.0000 6.2431
Ba Bi As
3 1 1
Direct
0.0000 0.0000 0.5000
0.0000 0.5000 0.0000
0.5000 0.0000 0.0000
0.5000 0.5000 0.5000
0.0000 0.0000 0.0000
```



<x>
DFT (PBE-GGA) results for a relaxed structure of Ba3BiAs.

Structure (POSCAR):
```
Ba3BiAs
1.0
9.9488 0.0000 0.0000
0.0000 9.1758 0.0000
-1.6376 0.0000 9.5099
Ba Bi As
12 4 4
Direct
0.0502 0.0010 0.2200
0.0502 0.4990 0.7200
0.2631 0.6143 0.0790
0.2631 0.8857 0.5790
0.3709 0.2049 0.9820
0.3709 0.2951 0.4820
0.6291 0.7049 0.5180
0.6291 0.7951 0.0180
0.7369 0.1143 0.4210
0.7369 0.3857 0.9210
0.9498 0.5010 0.2800
0.9498 0.9990 0.7800
0.4097 0.5646 0.7651
0.4097 0.9354 0.2651
0.5903 0.0646 0.7349
0.5903 0.4354 0.2349
0.0615 0.2161 0.5126
0.0615 0.2839 0.0126
0.9385 0.7161 0.9874
0.9385 0.7839 0.4874
```



Energy above the most stable structure, in eV/atom: <w> 0.153; <x> 0.000



<w>
DFT (PBE-GGA) results for a relaxed structure of BaBiAs.

Structure (POSCAR):
```
BaBiAs
1.0
3.2298 -4.5625 0.0000
3.2298 4.5625 0.0000
0.0000 0.0000 6.7981
Ba Bi As
2 2 2
Direct
0.1418 0.8582 0.7500
0.8582 0.1418 0.2500
0.5000 0.5000 0.0000
0.5000 0.5000 0.5000
0.2268 0.7732 0.2500
0.7732 0.2268 0.7500
```



<x>
DFT (PBE-GGA) results for a relaxed structure of BaBiAs.

Structure (POSCAR):
```
BaBiAs
1.0
4.9952 0.0000 0.0000
-2.4976 4.3260 0.0000
0.0000 0.0000 4.8739
Ba Bi As
1 1 1
Direct
0.0000 0.0000 0.0000
0.6667 0.3333 0.4743
0.3333 0.6667 0.5751
```



Energy above the most stable structure, in eV/atom: <w> 0.051; <x> 0.000



<w>
DFT (PBE-GGA) results for a relaxed structure of BaBiAs2Br.

Structure (POSCAR):
```
BaBiAs2Br
1.0
6.3241 0.0000 0.0000
0.0000 6.3241 0.0000
0.0000 0.0000 6.9211
Ba Bi As Br
1 1 2 1
Direct
0.0000 0.0000 0.0000
0.0000 0.0000 0.5000
0.0000 0.5000 0.0000
0.5000 0.0000 0.0000
0.5000 0.5000 0.5000
```



<x>
DFT (PBE-GGA) results for a relaxed structure of BaBiAs2Br.

Structure (POSCAR):
```
BaBiAs2Br
1.0
5.4652 0.0000 0.0000
0.0000 5.4652 0.0000
0.0000 0.0000 5.8909
Ba Bi As Br
1 1 2 1
Direct
0.0000 0.0000 0.0000
0.5000 0.5000 0.5000
0.0000 0.5000 0.5000
0.5000 0.0000 0.5000
0.5000 0.5000 0.0000
```



Energy above the most stable structure, in eV/atom: <w> 1.233; <x> 0.000



<w>
DFT (PBE-GGA) results for a relaxed structure of Ba2HgBiAs.

Structure (POSCAR):
```
Ba2HgBiAs
1.0
6.5120 0.0000 0.0000
0.0000 6.5120 0.0000
0.0000 0.0000 5.0782
Ba Hg Bi As
2 1 1 1
Direct
0.0000 0.5000 0.0000
0.5000 0.0000 0.0000
0.0000 0.0000 0.0000
0.5000 0.5000 0.5000
0.0000 0.0000 0.5000
```



<x>
DFT (PBE-GGA) results for a relaxed structure of Ba2HgBiAs.

Structure (POSCAR):
```
Ba2HgBiAs
1.0
8.2698 0.0000 0.0000
0.0000 4.8656 0.0000
-2.8668 0.0000 9.7252
Ba Hg Bi As
4 2 2 2
Direct
0.1938 0.2500 0.3981
0.2307 0.2500 0.9749
0.7693 0.7500 0.0251
0.8062 0.7500 0.6019
0.4881 0.7500 0.2634
0.5119 0.2500 0.7366
0.2974 0.7500 0.6999
0.7026 0.2500 0.3001
0.1589 0.7500 0.1765
0.8411 0.2500 0.8235
```



Energy above the most stable structure, in eV/atom: <w> 0.554; <x> 0.000



<w>
DFT (PBE-GGA) results for a relaxed structure of BaBiAsSe2.

Structure (POSCAR):
```
BaBiAsSe2
1.0
5.6050 0.0000 0.0000
0.0000 5.6050 0.0000
0.0000 0.0000 5.4404
Ba Bi As Se
1 1 1 2
Direct
0.0000 0.0000 0.0000
0.5000 0.5000 0.5000
0.5000 0.5000 0.0000
0.0000 0.5000 0.5000
0.5000 0.0000 0.5000
```



<x>
DFT (PBE-GGA) results for a relaxed structure of BaBiAsSe2.

Structure (POSCAR):
```
BaBiAsSe2
1.0
5.9948 0.0000 0.0000
0.0000 5.9948 0.0000
0.0000 0.0000 6.0554
Ba Bi As Se
1 1 1 2
Direct
0.0000 0.0000 0.0000
0.5000 0.5000 0.5000
0.0000 0.0000 0.5000
0.0000 0.5000 0.0000
0.5000 0.0000 0.0000
```



Energy above the most stable structure, in eV/atom: <w> 0.000; <x> 1.023



<w>
DFT (PBE-GGA) results for a relaxed structure of BaAs2Br.

Structure (POSCAR):
```
BaAs2Br
1.0
3.7608 0.0000 0.0000
0.0000 3.7608 0.0000
0.0000 0.0000 8.8528
Ba As Br
1 2 1
Direct
0.0000 0.0000 0.0000
0.0000 0.0000 0.6228
0.5000 0.5000 0.7237
0.5000 0.5000 0.2086
```



<x>
DFT (PBE-GGA) results for a relaxed structure of BaAs2Br.

Structure (POSCAR):
```
BaAs2Br
1.0
4.4282 0.0000 0.0000
0.0000 3.9841 0.0000
-1.3458 0.0000 7.7610
Ba As Br
1 2 1
Direct
0.0000 0.0000 0.0000
0.5988 0.0000 0.3565
0.9306 0.5000 0.3391
0.4486 0.5000 0.8236
```



Energy above the most stable structure, in eV/atom: <w> 0.131; <x> 0.000



<w>
DFT (PBE-GGA) results for a relaxed structure of BaAsBr.

Structure (POSCAR):
```
BaAsBr
1.0
-2.2891 2.2891 5.5411
2.2891 -2.2891 5.5411
2.2891 2.2891 -5.5411
Ba As Br
1 1 1
Direct
0.0000 0.0000 0.0000
0.4309 0.4309 0.0000
0.6613 0.6613 0.0000
```



<x>
DFT (PBE-GGA) results for a relaxed structure of BaAsBr.

Structure (POSCAR):
```
BaAsBr
1.0
4.6472 0.0000 0.0000
-2.3180 4.1541 0.0000
-0.0292 -2.5617 11.7017
Ba As Br
2 2 2
Direct
0.0000 0.0000 0.0000
0.1439 0.2843 0.4049
0.3873 0.7712 0.1903
0.7556 0.5085 0.2136
0.6241 0.2508 0.8531
0.8612 0.7184 0.5556
```



Energy above the most stable structure, in eV/atom: <w> 0.532; <x> 0.000



<w>
DFT (PBE-GGA) results for a relaxed structure of BaAsBr.

Structure (POSCAR):
```
BaAsBr
1.0
4.0562 -2.4337 0.0000
4.0562 2.4337 0.0000
-3.0113 0.0000 11.7899
Ba As Br
2 2 2
Direct
0.0000 0.0000 0.0000
0.5524 0.5524 0.5654
0.2850 0.2850 0.7767
0.6037 0.6037 0.8310
0.3929 0.3929 0.1463
0.8420 0.8420 0.4309
```



<x>
DFT (PBE-GGA) results for a relaxed structure of BaAsBr.

Structure (POSCAR):
```
BaAsBr
1.0
-2.0997 10.0857 2.2617
2.0997 -10.0857 2.2617
2.0997 10.0857 -2.2617
Ba As Br
2 2 2
Direct
0.1296 0.0000 0.1296
0.8704 0.0000 0.8704
0.5285 0.5285 0.0000
0.8833 0.3833 0.5000
0.3088 0.9993 0.3095
0.6899 0.9993 0.6905
```



Energy above the most stable structure, in eV/atom: <w> 0.095; <x> 0.000



<w>
DFT (PBE-GGA) results for a relaxed structure of BaAsBr.

Structure (POSCAR):
```
BaAsBr
1.0
4.6657 0.0000 0.0000
2.3273 4.1925 0.0000
2.3161 1.2183 11.4037
Ba As Br
2 2 2
Direct
0.0611 0.0814 0.2933
0.9389 0.9186 0.7067
0.3218 0.3713 0.4841
0.6782 0.6288 0.5159
0.2157 0.2184 0.8553
0.7843 0.7816 0.1447
```



<x>
DFT (PBE-GGA) results for a relaxed structure of BaAsBr.

Structure (POSCAR):
```
BaAsBr
1.0
0.0000 3.8297 3.8297
3.8297 0.0000 3.8297
3.8297 3.8297 0.0000
Ba As Br
1 1 1
Direct
0.0000 0.0000 0.0000
0.5000 0.5000 0.5000
0.2500 0.2500 0.2500
```



Energy above the most stable structure, in eV/atom: <w> 0.000; <x> 0.811